Run A
Below is a relaxed structure of AgAs2Os, with properties calculated at the PBE-GGA level.

Lattice parameters (Å, degrees): 2.8551 2.8551 10.0378 90.00 90.00 117.40
Positions (direct):
Ag 0.5000 0.5000 0.7371
As 0.0000 0.0000 0.9743
As 0.5000 0.5000 0.2961
Os 0.0000 0.0000 0.4926

M_tot: 0.0000 μB/atom



Run B
Below is a relaxed structure of AgAs2Os, with properties calculated at the PBE-GGA level.

Lattice parameters (Å, degrees): 4.1370 2.9625 6.8313 77.45 90.00 90.00
Positions (direct):
As 0.0000 0.1155 0.8936
Ag 0.5000 0.6924 0.7402
Os 0.0000 0.2993 0.5270
As 0.5000 0.3928 0.3392

M_tot: 0.0000 μB/atom



Most stable of them? run B.



Run A
Below is a relaxed structure of BaSrMn2, with properties calculated at the PBE-GGA level.

Lattice parameters (Å, degrees): 6.0919 6.0919 7.3673 55.32 55.32 45.21
Site moments in Bohr magnetons follow the coordinates.
Positions (direct):
Mn 0.4941 0.4941 0.6701  3.69
Sr 0.7500 0.7500 0.7500  -0.07
Ba 0.2500 0.2500 0.2500  -0.11
Mn 0.0059 0.0059 0.8299  3.69

M_tot: 1.8207 μB/atom



Run B
Below is a relaxed structure of BaSrMn2, with properties calculated at the PBE-GGA level.

Lattice parameters (Å, degrees): 10.3017 10.3017 10.3017 22.11 22.11 22.11
Site moments in Bohr magnetons follow the coordinates.
Positions (direct):
Mn 0.5017 0.5017 0.5017  3.98
Sr 0.2500 0.2500 0.2500  -0.09
Mn 0.9983 0.9983 0.9983  3.98
Ba 0.7500 0.7500 0.7500  -0.19

M_tot: 1.8618 μB/atom



Most stable of them? run A.



Run A
Below is a relaxed structure of RbBP, with properties calculated at the PBE-GGA level.

Lattice parameters (Å, degrees): 9.4297 4.8018 7.5966 90.00 90.00 90.00
Positions (direct):
Rb 0.7145 0.0000 0.1052
B 0.0000 0.3300 0.2649
Rb 0.2145 0.5000 0.6052
P 0.0000 0.0000 0.3989
B 0.5000 0.8300 0.7649
B 0.5000 0.1700 0.7649
Rb 0.7855 0.5000 0.6052
Rb 0.2855 0.0000 0.1052
P 0.5000 0.5000 0.8989
P 0.5000 0.0000 0.5403
P 0.0000 0.5000 0.0403
B 0.0000 0.6700 0.2649

M_tot: 0.0000 μB/atom



Run B
Below is a relaxed structure of RbBP, with properties calculated at the PBE-GGA level.

Lattice parameters (Å, degrees): 4.5973 6.1896 6.4215 62.72 76.47 77.19
Positions (direct):
Rb 0.7094 0.4698 0.8266
Rb 0.0316 0.1189 0.4265
P 0.3812 0.6280 0.3162
P 0.0898 0.7703 0.0259
B 0.3572 0.9792 0.9986
B 0.6689 0.8487 0.0885

M_tot: 0.0000 μB/atom



Most stable of them? run A.